No. 1
## YScPdPt2 (SCAN)

Data for a crystal of YScPdPt2 relaxed with PBEsol.

Structure (POSCAR):
```
YScPdPt2
1.0
-0.574 4.051 -2.618
-1.466 -2.658 -3.791
-4.734 0.353 1.584
Sc Y Pd Pt
1 1 1 2
direct
0.000 0.000 0.500
0.000 0.000 0.000
0.500 0.500 0.500
0.000 0.500 0.000
0.500 0.000 0.000
```

## Properties
Spin magnetization, μB per atom: 0.00
Fermi-level density of states, states/eV per cell: 4.83
Space group: P4/mmm
Formation enthalpy at 0 K, eV/atom: 1.0406
Uncorrected energy, eV/atom: -42.008

No. 2
## SiPdPt2 (SCAN)

Data for a crystal of SiPdPt2 relaxed with PBEsol.

Structure (POSCAR):
```
SiPdPt2
1.0
-3.559 -2.510 -2.718
1.726 -3.727 -3.666
-1.961 -4.710 2.069
Pt Si Pd
4 2 2
direct
0.875 0.957 0.543
0.582 0.543 0.043
0.168 0.457 0.957
0.375 0.043 0.457
0.250 0.500 0.500
0.500 0.000 0.000
0.750 0.500 0.500
0.000 0.000 0.000
```

## Properties
Spin magnetization, μB per atom: 0.00
Fermi-level density of states, states/eV per cell: 3.04
Space group: I-42d
Uncorrected energy, eV/atom: -46.290
Formation energy from raw total energies, eV per atom: -0.50

No. 3
## Sn2Pd3Pt3 (SCAN)

Data for a crystal of Sn2Pd3Pt3 relaxed with PBEsol.

Structure (POSCAR):
```
Sn2Pd3Pt3
1.0
-0.101 3.763 1.295
-1.465 -1.242 3.495
7.403 -0.774 2.827
Pd Sn Pt
3 2 3
direct
0.500 0.500 0.250
0.000 0.500 0.500
0.500 0.500 0.750
0.000 0.000 0.252
0.000 0.000 0.748
0.500 0.000 0.000
0.000 0.500 0.000
0.500 0.000 0.500
```

## Properties
Spin magnetization, μB per atom: 0.00
Fermi-level density of states, states/eV per cell: 2.21
Space group: Pmmm
Formation enthalpy at 0 K, eV/atom: -0.4249
Uncorrected energy, eV/atom: -48.018

No. 4
## Sr2PdPt (SCAN)

Data for a crystal of Sr2PdPt relaxed with PBEsol.

Structure (POSCAR):
```
Sr2PdPt
1.0
-1.178 3.933 -3.072
-3.579 -0.563 -3.628
-4.528 2.359 0.477
Pt Sr Pd
1 2 1
direct
0.500 0.500 0.500
0.750 0.750 0.750
0.250 0.250 0.250
0.000 0.000 0.000
```

## Properties
Spin magnetization, μB per atom: 0.00
Fermi-level density of states, states/eV per cell: 0.41
Space group: Fm-3m
Formation enthalpy at 0 K, eV/atom: -0.7180
Uncorrected energy, eV/atom: -37.597

No. 5
## Ta3PdPt (SCAN)

Data for a crystal of Ta3PdPt relaxed with PBEsol.

Structure (POSCAR):
```
Ta3PdPt
1.0
4.786 0.000 0.000
0.000 4.786 0.000
0.000 0.000 4.786
Ta Pd Pt
3 1 1
direct
0.500 0.000 0.000
0.000 0.500 0.000
0.000 0.000 0.500
0.500 0.500 0.500
0.000 0.000 0.000
```

## Properties
Spin magnetization, μB per atom: 0.00
Fermi-level density of states, states/eV per cell: 4.76
Space group: Pm-3m
Formation enthalpy at 0 K, eV/atom: 1.2014
Uncorrected energy, eV/atom: -59.342

No. 6
## TePdPt2 (SCAN)

Data for a crystal of TePdPt2 relaxed with PBEsol.

Structure (POSCAR):
```
TePdPt2
1.0
4.547 0.000 0.000
2.274 3.938 0.000
2.274 1.313 3.713
Pd Pt Te
1 2 1
direct
0.000 0.000 0.000
0.250 0.250 0.250
0.750 0.750 0.750
0.500 0.500 0.500
```

## Properties
Spin magnetization, μB per atom: 0.00
Fermi-level density of states, states/eV per cell: 2.77
Space group: Fm-3m
Uncorrected energy, eV/atom: -52.642
Formation energy from raw total energies, eV per atom: -0.04

No. 7
## TiPd2Pt2 (SCAN)

Data for a crystal of TiPd2Pt2 relaxed with PBEsol.

Structure (POSCAR):
```
TiPd2Pt2
1.0
-1.785 0.720 2.960
-2.529 -2.263 -0.974
5.305 -4.071 2.082
Pd Pt Ti
2 2 1
direct
0.750 0.250 0.500
0.250 0.750 0.500
0.404 0.404 0.807
0.596 0.596 0.193
0.000 0.000 0.000
```

## Properties
Spin magnetization, μB per atom: 0.00
Fermi-level density of states, states/eV per cell: 2.47
Space group: I4/mmm
Formation enthalpy at 0 K, eV/atom: -0.2974
Uncorrected energy, eV/atom: -44.690

No. 8
## TlPdPt3 (SCAN)

Data for a crystal of TlPdPt3 relaxed with PBEsol.

Structure (POSCAR):
```
TlPdPt3
1.0
4.910 0.000 0.000
0.000 4.910 0.000
0.000 0.000 4.910
Tl Pt Pd
1 3 1
direct
0.000 0.000 0.000
0.500 0.000 0.000
0.000 0.500 0.000
0.000 0.000 0.500
0.500 0.500 0.500
```

## Properties
Spin magnetization, μB per atom: 0.00
Fermi-level density of states, states/eV per cell: 7.26
Space group: Pm-3m
Formation enthalpy at 0 K, eV/atom: 1.7461
Uncorrected energy, eV/atom: -61.396